Material: Li2PmSmGe2
Method: DFT, PBE
State: relaxed

extended XYZ file:
```
6
Lattice="-2.672 -1.115 -3.410 -0.660 -1.802 4.041 -4.580 5.610 1.754" Properties=species:S:1:pos:R:3 pbc="T T T"
Li -4.743 2.607 2.864
Li -3.169 0.086 -0.480
Pm 0.000 0.000 0.000
Sm -2.290 2.805 0.877
Ge -2.484 -0.161 1.999
Ge -5.428 2.854 0.386
```

Calculated values
Total magnetic moment   0.00 μB per cell
E_form   -0.6776 eV per atom
Theoretical density   5.845 g/cm3

Material: CeNdTm
Method: DFT, PBE
State: relaxed

extended XYZ file:
```
3
Lattice="3.533 0.000 0.000 -1.766 3.060 0.000 0.000 0.000 8.707" Properties=species:S:1:pos:R:3 pbc="T T T"
Tm 1.766 1.020 2.962
Nd 0.000 0.000 8.686
Ce 0.000 2.040 5.766
```

Calculated values
Total magnetic moment   0.62 μB per cell
E_form   0.0750 eV per atom
Relative energy among the computed polymorphs   27 meV per atom
Theoretical density   7.998 g/cm3

Material: Na2TeAu2
Method: DFT, PBE
State: relaxed

extended XYZ file:
```
5
Lattice="-1.166 3.467 1.212 -1.120 -1.546 3.347 6.731 2.447 5.601" Properties=species:S:1:pos:R:3 pbc="T T T"
Na 0.497 1.270 2.971
Na 3.948 3.098 7.188
Te 0.000 0.000 0.000
Au 2.211 3.437 4.546
Au 2.234 0.931 5.614
```

Calculated values
Total magnetic moment   0.00 μB per cell
Uncorrected formation energy   -0.39 eV per atom
Relative energy among the computed polymorphs   0 meV per atom
Theoretical density   7.317 g/cm3

Material: Li3InB
Method: DFT, PBE
State: relaxed

extended XYZ file:
```
5
Lattice="-2.924 3.244 2.539 -3.309 -3.705 0.923 2.455 -1.129 4.269" Properties=species:S:1:pos:R:3 pbc="T T T"
B -1.889 -0.795 3.866
Li -1.654 -1.852 0.461
Li 1.227 -0.564 2.134
Li -1.462 1.622 1.270
In 0.000 0.000 0.000
```

Calculated values
Total magnetic moment   0.00 μB per cell
E_form   1.1318 eV per atom
Relative energy among the computed polymorphs   795 meV per atom
Theoretical density   1.886 g/cm3

> The lowest theoretical density belongs to which entry?

Li3InB